No. 1
This record from OQMD describes crystalline LiNiAgAu at its relaxed geometry. The functional is PBE.

Lattice parameters (Å, degrees): 4.3516 4.3516 4.3516 60.00 60.00 60.00
Element x y z (fractional)
Au1 0.5000 0.5000 0.5000
Li1 0.7500 0.7500 0.7500
Ag1 0.0000 0.0000 0.0000
Ni1 0.2500 0.2500 0.2500

Summary:
For the polymorph energy (0 for the lowest one), the calculation gives 0.0 meV/atom. Its final energy is -3.54 eV/atom. As for the total magnetization: 0.0004 μB/atom.

---

No. 2
This record from OQMD describes crystalline Li4AgP2Au at its relaxed geometry. The functional is PBE.

Lattice parameters (Å, degrees): 4.3195 4.3195 6.0905 90.00 90.00 90.00
Element x y z (fractional)
Li1 0.0000 0.0000 0.0000
Au1 0.5000 0.5000 0.0000
Li2 0.0000 0.5000 0.2438
Li3 0.5000 0.0000 0.7562
Ag1 0.0000 0.0000 0.5000
Li4 0.5000 0.5000 0.5000
P1 0.5000 0.0000 0.2503
P2 0.0000 0.5000 0.7497

Summary:
Its final energy is -3.54 eV/atom.

---

No. 3
This record from OQMD describes crystalline Li2ZnAg2PbAu2 at its relaxed geometry. The functional is PBE.

Lattice parameters (Å, degrees): 4.4962 4.4962 6.9857 90.00 90.00 90.00
Element x y z (fractional)
Li1 0.5000 0.5000 0.0000
Zn1 0.5000 0.5000 0.5000
Au1 0.0000 0.5000 0.7135
Au2 0.5000 0.0000 0.2865
Pb1 0.0000 0.0000 0.0000
Ag1 0.0000 0.5000 0.2811
Li2 0.0000 0.0000 0.5000
Ag2 0.5000 0.0000 0.7189

Summary:
Its final energy is -2.90 eV/atom.

---

final energy of number 2 (Li4AgP2Au)?
-3.54 eV/atom

---

Copy entry 1 word for word.
This record from OQMD describes crystalline LiNiAgAu at its relaxed geometry. The functional is PBE.

Lattice parameters (Å, degrees): 4.3516 4.3516 4.3516 60.00 60.00 60.00
Element x y z (fractional)
Au1 0.5000 0.5000 0.5000
Li1 0.7500 0.7500 0.7500
Ag1 0.0000 0.0000 0.0000
Ni1 0.2500 0.2500 0.2500

Summary:
For the polymorph energy (0 for the lowest one), the calculation gives 0.0 meV/atom. Its final energy is -3.54 eV/atom. As for the total magnetization: 0.0004 μB/atom.

---

Look up the final energy of the third one.
-2.90 eV/atom

---

final energy of number 2 (Li4AgP2Au)?
-3.54 eV/atom